[1]
PBE with a Hubbard U Fe2B2O, optimized geometry; space-group type = P4/mbm, No. 127; M_tot = 5.9 μB per formula unit; total DFT energy (no corrections) = -26.51 eV per formula unit; calculated density = 5180 kg/m³; relative energy among the computed polymorphs = 0.000 eV per atom
1.0
-3.4565 -4.0140 -2.3410
4.5713 -3.4612 -0.8147
-0.4112 -1.1503 2.5796
B Fe O
4 4 2
Direct
0.9023 0.5977 0.0000
0.4023 0.9023 0.0000
0.0977 0.4023 0.0000
0.5977 0.0977 0.0000
0.2961 0.2039 0.5000
0.7961 0.2961 0.5000
0.7039 0.7961 0.5000
0.2039 0.7039 0.5000
0.0000 0.0000 0.0000
0.5000 0.5000 0.0000

[2]
PBE with a Hubbard U FeB4O7, optimized geometry; space-group type = Cmcm, No. 63; M_tot = 4.0 μB per formula unit; total DFT energy (no corrections) = -93.77 eV per formula unit; calculated density = 3688 kg/m³
1.0
-2.3932 2.7317 3.7638
-5.6794 -1.9827 -2.1722
-2.3463 -5.4242 2.4450
B O Fe
8 14 2
Direct
0.7500 0.0825 0.6803
0.2500 0.9175 0.3197
0.5000 0.7050 0.7050
0.5000 0.2950 0.2950
0.7500 0.3197 0.9175
0.2500 0.6803 0.0825
0.0000 0.7050 0.7050
0.0000 0.2950 0.2950
0.7500 0.8090 0.7563
0.5233 0.1903 0.5482
0.0233 0.5482 0.1903
0.2500 0.9086 0.0914
0.4767 0.5482 0.1903
0.7500 0.0914 0.9086
0.5233 0.4518 0.8097
0.9767 0.1903 0.5482
0.2500 0.1910 0.2437
0.4767 0.8097 0.4518
0.9767 0.4518 0.8097
0.0233 0.8097 0.4518
0.7500 0.2437 0.1910
0.2500 0.7563 0.8090
0.2500 0.2216 0.7784
0.7500 0.7784 0.2216

[3]
PBE with a Hubbard U FeB2O4, optimized geometry; space-group type = C2/c, No. 15; M_tot = 4.0 μB per formula unit; total DFT energy (no corrections) = -53.68 eV per formula unit; calculated density = 4008 kg/m³
1.0
-1.2572 1.9091 3.8536
-3.2541 -3.7628 2.6163
5.5851 -0.5630 0.2871
O Fe B
8 2 4
Direct
0.4736 0.5073 0.8010
0.0378 0.7737 0.0581
0.9622 0.2263 0.9419
0.0264 0.8010 0.5073
0.9736 0.1990 0.4927
0.5378 0.9419 0.2263
0.4622 0.0581 0.7737
0.5264 0.4927 0.1990
0.7500 0.6634 0.6634
0.2500 0.3366 0.3366
0.1206 0.0817 0.7031
0.8794 0.9183 0.2969
0.6206 0.2969 0.9183
0.3794 0.7031 0.0817

[4]
PBE with a Hubbard U FeBO3, optimized geometry; space-group type = Pm-3m, No. 221; M_tot = 3.4 μB per formula unit; total DFT energy (no corrections) = -24.85 eV per formula unit; calculated density = 3759 kg/m³
1.0
3.6998 0.0000 0.0000
0.0000 3.6998 0.0000
0.0000 0.0000 3.6998
B O Fe
1 3 1
Direct
0.5000 0.5000 0.5000
0.0000 0.5000 0.0000
0.0000 0.0000 0.5000
0.5000 0.0000 0.0000
0.0000 0.0000 0.0000

[5]
PBE with a Hubbard U Fe3BO, optimized geometry; space-group type = Pm-3m, No. 221; M_tot = 10.7 μB per formula unit; total DFT energy (no corrections) = -25.89 eV per formula unit; calculated density = 4813 kg/m³; relative energy among the computed polymorphs = 0.000 eV per atom
1.0
-3.9307 0.3547 0.9631
-0.9885 -2.3337 -3.1749
0.2761 -3.3063 2.3443
Fe B O
3 1 1
Direct
0.5000 0.0000 0.0000
0.0000 0.5000 0.0000
0.0000 0.0000 0.5000
0.5000 0.5000 0.5000
0.0000 0.0000 0.0000

[6]
PBE with a Hubbard U FeB3O, optimized geometry; space-group type = Pm-3m, No. 221; M_tot = 2.6 μB per formula unit; total DFT energy (no corrections) = -22.66 eV per formula unit; calculated density = 4037 kg/m³
1.0
-1.7533 -2.9179 -0.8160
0.8163 0.4530 -3.3738
2.9178 -1.8801 0.4535
B Fe O
3 1 1
Direct
0.5000 0.0000 0.0000
0.0000 0.5000 0.0000
0.0000 0.0000 0.5000
0.5000 0.5000 0.5000
0.0000 0.0000 0.0000

[7]
PBE with a Hubbard U FeB6O6, optimized geometry; space-group type = C2/m, No. 12; M_tot = 3.8 μB per formula unit; total DFT energy (no corrections) = -89.89 eV per formula unit; calculated density = 3516 kg/m³; relative energy among the computed polymorphs = 0.264 eV per atom
1.0
4.7740 3.1367 0.0041
-4.7740 3.1367 0.0041
0.0000 1.8941 3.4198
B Fe O
6 1 6
Direct
0.6284 0.6284 0.7184
0.9199 0.4195 0.8583
0.5805 0.0801 0.1417
0.3716 0.3716 0.2816
0.0801 0.5805 0.1417
0.4195 0.9199 0.8583
0.0000 0.0000 0.0000
0.3921 0.1217 0.4717
0.6079 0.8783 0.5283
0.3582 0.3582 0.9192
0.8783 0.6079 0.5283
0.1217 0.3921 0.4717
0.6418 0.6418 0.0808

[8]
PBE with a Hubbard U FeBO3, optimized geometry; space-group type = P6_3/mmc, No. 194; M_tot = 5.0 μB per formula unit; total DFT energy (no corrections) = -36.47 eV per formula unit; calculated density = 3214 kg/m³
1.0
-2.4867 -1.0836 4.2004
-0.1412 -3.1578 -3.8743
4.4132 -2.5847 1.9459
Fe O B
2 6 2
Direct
0.0000 0.0000 0.5000
0.0000 0.0000 0.0000
0.1738 0.8262 0.2500
0.8262 0.6524 0.7500
0.8262 0.1738 0.7500
0.6524 0.8262 0.2500
0.3476 0.1738 0.7500
0.1738 0.3476 0.2500
0.6667 0.3333 0.7500
0.3333 0.6667 0.2500

[9]
PBE with a Hubbard U Fe2BO, optimized geometry; space-group type = Fm-3m, No. 225; M_tot = 5.5 μB per formula unit; total DFT energy (no corrections) = -20.70 eV per formula unit; calculated density = 5854 kg/m³; relative energy among the computed polymorphs = 0.406 eV per atom
1.0
1.8097 -1.3861 3.0600
0.8903 2.3138 2.9006
-1.8429 -0.3146 3.3264
O B Fe
1 1 2
Direct
0.5000 0.5000 0.5000
0.0000 0.0000 0.0000
0.7500 0.7500 0.7500
0.2500 0.2500 0.2500

[10]
PBE with a Hubbard U FeBO3, optimized geometry; space-group type = P2_1/c, No. 14; M_tot = 5.0 μB per formula unit; total DFT energy (no corrections) = -36.41 eV per formula unit; calculated density = 3347 kg/m³
1.0
4.7341 0.0000 -0.0607
0.0000 5.0789 0.0000
0.7456 0.0000 9.4547
Fe O B
4 12 4
Direct
0.4808 0.8551 0.2170
0.9808 0.6449 0.7170
0.5192 0.1449 0.7830
0.0192 0.3551 0.2830
0.1453 0.1537 0.4514
0.6730 0.7970 0.8432
0.3270 0.2030 0.1568
0.7933 0.0122 0.3052
0.8270 0.2970 0.6568
0.3547 0.6537 0.0486
0.8547 0.8463 0.5486
0.6453 0.3463 0.9514
0.7067 0.5122 0.1948
0.1730 0.7030 0.3432
0.2933 0.4878 0.8052
0.2067 0.9878 0.6948
0.0153 0.0960 0.5956
0.5153 0.4040 0.0956
0.4847 0.5960 0.9044
0.9847 0.9040 0.4044

[11]
PBE with a Hubbard U Fe2B2O, optimized geometry; space-group type = I4/mmm, No. 139; M_tot = 5.1 μB per formula unit; total DFT energy (no corrections) = -25.13 eV per formula unit; calculated density = 4748 kg/m³; relative energy among the computed polymorphs = 0.275 eV per atom
1.0
-1.2757 3.6291 -0.6486
-3.4863 -0.9644 1.4609
-1.3267 2.2623 3.5358
B Fe O
2 2 1
Direct
0.3774 0.3774 0.2452
0.6226 0.6226 0.7548
0.7500 0.2500 0.5000
0.2500 0.7500 0.5000
0.0000 0.0000 0.0000

[12]
PBE with a Hubbard U FeBO3, optimized geometry; space-group type = P2_1/m, No. 11; M_tot = 5.0 μB per formula unit; total DFT energy (no corrections) = -34.56 eV per formula unit; calculated density = 3735 kg/m³
1.0
2.6439 -0.2144 0.0000
-1.8879 7.1754 0.0000
0.0000 0.0000 5.4906
Fe O B
2 6 2
Direct
0.2586 0.0056 0.2500
0.7414 0.9944 0.7500
0.9035 0.1612 0.4579
0.6398 0.4146 0.2500
0.3602 0.5854 0.7500
0.9035 0.1612 0.0421
0.0965 0.8388 0.9579
0.0965 0.8388 0.5421
0.0577 0.3266 0.2500
0.9423 0.6734 0.7500

- Which of these has the lowest total DFT energy (no corrections)?
  FeB4O7

- Number 10 is which compound?
  FeBO3

Repeat the seventh record exactly.
PBE with a Hubbard U FeB6O6, optimized geometry; space-group type = C2/m, No. 12; M_tot = 3.8 μB per formula unit; total DFT energy (no corrections) = -89.89 eV per formula unit; calculated density = 3516 kg/m³; relative energy among the computed polymorphs = 0.264 eV per atom
1.0
4.7740 3.1367 0.0041
-4.7740 3.1367 0.0041
0.0000 1.8941 3.4198
B Fe O
6 1 6
Direct
0.6284 0.6284 0.7184
0.9199 0.4195 0.8583
0.5805 0.0801 0.1417
0.3716 0.3716 0.2816
0.0801 0.5805 0.1417
0.4195 0.9199 0.8583
0.0000 0.0000 0.0000
0.3921 0.1217 0.4717
0.6079 0.8783 0.5283
0.3582 0.3582 0.9192
0.8783 0.6079 0.5283
0.1217 0.3921 0.4717
0.6418 0.6418 0.0808

What did the eighth record say?
PBE with a Hubbard U FeBO3, optimized geometry; space-group type = P6_3/mmc, No. 194; M_tot = 5.0 μB per formula unit; total DFT energy (no corrections) = -36.47 eV per formula unit; calculated density = 3214 kg/m³
1.0
-2.4867 -1.0836 4.2004
-0.1412 -3.1578 -3.8743
4.4132 -2.5847 1.9459
Fe O B
2 6 2
Direct
0.0000 0.0000 0.5000
0.0000 0.0000 0.0000
0.1738 0.8262 0.2500
0.8262 0.6524 0.7500
0.8262 0.1738 0.7500
0.6524 0.8262 0.2500
0.3476 0.1738 0.7500
0.1738 0.3476 0.2500
0.6667 0.3333 0.7500
0.3333 0.6667 0.2500